Entry 1:
Computed, not measured: a geometry-optimized PaTi2Sb structure at the PBE level of DFT.

Unit cell a=3.083 b=3.083 c=10.313 alpha=81.40 beta=81.40 gamma=60.00
Element x y z (fractional)
1 Sb 0.500 0.500 0.500
2 Ti 0.909 0.909 0.274
3 Ti 0.091 0.091 0.726
4 Pa 0.000 0.000 0.000

Computed properties:
The value obtained for the uncorrected formation energy is 0.24 eV/atom. The calculation puts the volume at 20.903 Å³/atom. For the calculated total energy, the calculation gives -28.43 eV/cell.


Entry 2:
Computed, not measured: a geometry-optimized BaY2Tl structure at the PBE level of DFT.

Unit cell a=7.105 b=7.105 c=6.002 alpha=65.01 beta=65.01 gamma=31.76
Element x y z (fractional)
1 Y 0.539 0.539 0.461
2 Y 0.961 0.961 0.039
3 Tl 0.250 0.250 0.250
4 Ba 0.750 0.750 0.750

Computed properties:
The calculation puts the volume at 35.816 Å³/atom. For the calculated total energy, the calculation gives -17.59 eV/cell.


Entry 3:
Computed, not measured: a geometry-optimized KIrW2 structure at the PBE level of DFT.

Unit cell a=2.971 b=4.771 c=4.973 alpha=90.00 beta=90.00 gamma=90.00
Element x y z (fractional)
1 Ir 0.500 0.000 0.500
2 W 0.500 0.500 0.000
3 W 0.000 0.000 0.000
4 K 0.000 0.500 0.500

Computed properties:
The calculation puts the volume at 17.621 Å³/atom. For the calculated total energy, the calculation gives -30.15 eV/cell.


Entry 4:
Computed, not measured: a geometry-optimized K2TlZn2 structure at the PBE level of DFT.

Unit cell a=7.564 b=7.564 c=5.640 alpha=90.00 beta=90.00 gamma=90.00
Element x y z (fractional)
1 Zn 0.123 0.377 0.000
2 Zn 0.877 0.623 0.000
3 Zn 0.377 0.877 0.000
4 Zn 0.623 0.123 0.000
5 Tl 0.000 0.000 0.000
6 Tl 0.500 0.500 0.000
7 K 0.818 0.318 0.500
8 K 0.318 0.182 0.500
9 K 0.682 0.818 0.500
10 K 0.182 0.682 0.500

Computed properties:
The calculation puts the volume at 32.272 Å³/atom. For the calculated total energy, the calculation gives -13.49 eV/cell.


Entry 5:
Computed, not measured: a geometry-optimized Tb4DyHo8 structure at the PBE level of DFT.

Unit cell a=7.248 b=7.248 c=9.944 alpha=90.00 beta=111.37 gamma=120.00
Element x y z (fractional)
1 Tb 0.500 0.500 0.000
2 Tb 0.000 0.000 0.000
3 Tb 0.000 0.500 0.000
4 Tb 0.500 0.000 0.000
5 Ho 0.501 0.750 0.696
6 Ho 0.054 0.250 0.304
7 Ho 0.054 0.805 0.304
8 Ho 0.946 0.750 0.696
9 Ho 0.946 0.195 0.696
10 Ho 0.432 0.216 0.649
11 Ho 0.568 0.784 0.351
12 Ho 0.499 0.250 0.304
13 Dy 0.000 0.500 0.500

Computed properties:
The calculation puts the volume at 31.568 Å³/atom. For the calculated total energy, the calculation gives -56.92 eV/cell.


Entry 6:
Computed, not measured: a geometry-optimized Lu2TlV structure at the PBE level of DFT.

Unit cell a=3.595 b=3.595 c=7.369 alpha=90.00 beta=90.00 gamma=90.00
Element x y z (fractional)
1 Lu 0.000 0.000 0.774
2 Lu 0.000 0.000 0.226
3 Tl 0.500 0.500 0.500
4 V 0.500 0.500 0.000

Computed properties:
The calculation puts the volume at 23.812 Å³/atom. For the calculated total energy, the calculation gives -20.57 eV/cell.


Entry 7:
Computed, not measured: a geometry-optimized Dy4Ho3Cd4 structure at the PBE level of DFT.

Unit cell a=5.300 b=6.924 c=9.618 alpha=111.10 beta=105.99 gamma=90.00
Element x y z (fractional)
1 Ho 0.898 0.898 0.796
2 Ho 0.102 0.102 0.204
3 Ho 0.000 0.500 0.000
4 Cd 0.500 0.210 0.000
5 Cd 0.500 0.790 0.000
6 Cd 0.826 0.326 0.653
7 Cd 0.174 0.674 0.347
8 Dy 0.682 0.444 0.365
9 Dy 0.318 0.556 0.635
10 Dy 0.682 0.921 0.365
11 Dy 0.318 0.079 0.635

Computed properties:
The calculation puts the volume at 28.600 Å³/atom. For the calculated total energy, the calculation gives -36.72 eV/cell.


Entry 8:
Computed, not measured: a geometry-optimized ZrSb2Rh structure at the PBE level of DFT.

Unit cell a=4.207 b=3.250 c=6.263 alpha=89.51 beta=90.00 gamma=90.00
Element x y z (fractional)
1 Rh 0.500 0.750 0.750
2 Sb 0.000 0.758 0.001
3 Sb 0.000 0.742 0.499
4 Zr 0.500 0.250 0.250

Computed properties:
The value obtained for the uncorrected formation energy is -0.33 eV/atom. The calculation puts the volume at 21.410 Å³/atom. For the calculated total energy, the calculation gives -25.46 eV/cell.


Entry 9:
Computed, not measured: a geometry-optimized LiPrTl3 structure at the PBE level of DFT.

Unit cell a=4.813 b=4.736 c=12.176 alpha=101.21 beta=100.95 gamma=90.00
Element x y z (fractional)
1 Li 0.397 0.146 0.292
2 Li 0.603 0.854 0.708
3 Pr 0.825 0.577 0.154
4 Pr 0.175 0.423 0.846
5 Tl 0.715 0.963 0.927
6 Tl 0.285 0.037 0.073
7 Tl 0.948 0.199 0.397
8 Tl 0.549 0.299 0.598
9 Tl 0.451 0.701 0.402
10 Tl 0.052 0.801 0.603

Computed properties:
The calculation puts the volume at 26.709 Å³/atom. For the calculated total energy, the calculation gives -29.36 eV/cell.


Entry 10:
Computed, not measured: a geometry-optimized CaY2Rh structure at the PBE level of DFT.

Unit cell a=6.136 b=6.136 c=6.136 alpha=138.27 beta=138.27 gamma=60.49
Element x y z (fractional)
1 Rh 0.750 0.250 0.500
2 Y 0.250 0.750 0.500
3 Y 0.000 0.000 0.000
4 Ca 0.500 0.500 0.000

Computed properties:
The calculation puts the volume at 25.324 Å³/atom. For the calculated total energy, the calculation gives -22.43 eV/cell.


Entry 11:
Computed, not measured: a geometry-optimized Ta2FeCu structure at the PBE level of DFT.

Unit cell a=4.730 b=4.730 c=5.000 alpha=82.14 beta=82.14 gamma=34.07
Element x y z (fractional)
1 Ta 0.497 0.497 0.501
2 Ta 0.003 0.003 0.999
3 Fe 0.250 0.250 0.250
4 Cu 0.750 0.750 0.750

Computed properties:
The calculation puts the volume at 15.504 Å³/atom. For the calculated total energy, the calculation gives -35.17 eV/cell.